[1]
Compound: RbGd2CuS4
Source: Alexandria
Functional: PBE-GGA
Structure: optimized geometry

Summary:
For the calculated total energy, the calculation gives -126.03 eV per cell.

abc: 7.248 7.248 13.856
angles: 90.00 90.00 147.78
Fractional positions:
Rb  0.106  0.894  0.750
Rb  0.894  0.106  0.250
Gd  0.366  0.634  0.561
Gd  0.366  0.634  0.939
Gd  0.634  0.366  0.061
Gd  0.634  0.366  0.439
Cu  0.165  0.835  0.250
Cu  0.835  0.165  0.750
S  0.000  0.000  0.000
S  0.000  0.000  0.500
S  0.259  0.741  0.110
S  0.259  0.741  0.390
S  0.424  0.576  0.750
S  0.576  0.424  0.250
S  0.741  0.259  0.610
S  0.741  0.259  0.890



[2]
Compound: Sr2InNi
Source: Alexandria
Functional: PBE-GGA
Structure: optimized geometry

Summary:
For the formation energy, the calculation gives 0.1 eV/f.u. The calculation puts the density of states at the Fermi level at 0.426 states/eV/atom.

abc: 4.129 4.129 9.217
angles: 102.65 102.65 59.67
Fractional positions:
Sr  0.232  0.232  0.198
Sr  0.768  0.768  0.802
In  0.000  0.000  0.500
Ni  0.500  0.500  0.000



[3]
Compound: CaCuSn2
Source: Alexandria
Functional: PBE-GGA
Structure: optimized geometry

Summary:
For the formation energy, the calculation gives -0.8 eV/f.u. The calculation puts the density of states at the Fermi level at 0.552 states/eV/atom.

abc: 4.540 4.540 4.478
angles: 90.00 90.00 90.00
Fractional positions:
Ca  0.000  0.000  0.000
Cu  0.500  0.500  0.000
Sn  0.000  0.500  0.500
Sn  0.500  0.000  0.500



[4]
Compound: PmGaAgPd
Source: Alexandria
Functional: PBE-GGA
Structure: optimized geometry

Summary:
For the formation energy, the calculation gives -1.9 eV/f.u. The calculation puts the density of states at the Fermi level at 0.859 states/eV/atom.

abc: 4.851 4.851 4.851
angles: 60.00 60.00 60.00
Fractional positions:
Pm  0.000  0.000  0.000
Ga  0.500  0.500  0.500
Ag  0.250  0.250  0.250
Pd  0.750  0.750  0.750



[5]
Compound: LaH3Pt
Source: Alexandria
Functional: PBE-GGA
Structure: optimized geometry

Summary:
For the calculated total energy, the calculation gives -45.60 eV per cell. The calculation puts the density of states at the Fermi level at 0.284 states/eV/atom.

abc: 6.360 6.360 6.360
angles: 46.58 46.58 46.58
Fractional positions:
La  0.098  0.098  0.098
La  0.902  0.902  0.902
H  0.087  0.602  0.602
H  0.398  0.398  0.913
H  0.398  0.913  0.398
H  0.602  0.087  0.602
H  0.602  0.602  0.087
H  0.913  0.398  0.398
Pt  0.295  0.295  0.295
Pt  0.705  0.705  0.705



[6]
Compound: CaNd2Ho6
Source: Alexandria
Functional: PBE-GGA
Structure: optimized geometry

Summary:
For the formation energy, the calculation gives 0.4 eV/f.u. The calculation puts the density of states at the Fermi level at 1.386 states/eV/atom.

abc: 7.224 8.970 9.532
angles: 103.36 100.83 90.00
Fractional positions:
Ca  0.212  0.335  0.355
Ca  0.788  0.665  0.645
Nd  0.379  0.335  0.017
Nd  0.420  0.994  0.166
Nd  0.580  0.006  0.834
Nd  0.621  0.665  0.983
Ho  0.043  0.328  0.687
Ho  0.086  0.005  0.835
Ho  0.122  0.665  0.984
Ho  0.248  0.991  0.503
Ho  0.284  0.671  0.650
Ho  0.451  0.672  0.316
Ho  0.549  0.328  0.684
Ho  0.716  0.329  0.350
Ho  0.752  0.009  0.497
Ho  0.878  0.335  0.016
Ho  0.914  0.995  0.165
Ho  0.957  0.672  0.313



[7]
Compound: Cs2AsOsI6
Source: Alexandria
Functional: PBE-GGA
Structure: optimized geometry

Summary:
For the calculated total energy, the calculation gives -30.53 eV per cell. The calculation puts the density of states at the Fermi level at 1.227 states/eV/atom.

abc: 8.217 8.217 8.217
angles: 120.14 120.14 89.76
Fractional positions:
Cs  0.250  0.750  0.500
Cs  0.750  0.250  0.500
As  0.000  0.000  0.000
Os  0.500  0.500  0.000
I  0.261  0.261  0.522
I  0.261  0.739  0.000
I  0.262  0.262  0.000
I  0.738  0.738  0.000
I  0.739  0.261  0.000
I  0.739  0.739  0.478



[8]
Compound: Na2CaCo
Source: Alexandria
Functional: PBE-GGA
Structure: optimized geometry

Summary:
For the formation energy, the calculation gives 2.3 eV/f.u. The relative energy among the computed polymorphs comes out at 0.000 eV/atom. The calculation puts the density of states at the Fermi level at 0.757 states/eV/atom.

abc: 12.357 12.357 12.357
angles: 160.29 160.29 28.02
Fractional positions:
Na  0.100  0.625  0.975
Na  0.375  0.350  0.475
Na  0.650  0.125  0.025
Na  0.875  0.900  0.525
Ca  0.250  0.750  0.500
Ca  0.500  0.500  0.000
Co  0.000  0.000  0.000
Co  0.750  0.250  0.500



[9]
Compound: Pr3Dy6Y2Tm
Source: Alexandria
Functional: PBE-GGA
Structure: optimized geometry

Summary:
For the formation energy, the calculation gives 0.3 eV/f.u. The calculation puts the density of states at the Fermi level at 1.387 states/eV/atom.

abc: 6.219 6.219 11.869
angles: 95.00 95.00 119.99
Fractional positions:
Pr  0.000  0.000  0.000
Pr  0.333  0.667  0.000
Pr  0.667  0.333  0.000
Dy  0.086  0.418  0.255
Dy  0.250  0.250  0.746
Dy  0.418  0.086  0.255
Dy  0.582  0.914  0.745
Dy  0.750  0.750  0.254
Dy  0.914  0.582  0.745
Y  0.167  0.833  0.500
Y  0.833  0.167  0.500
Tm  0.500  0.500  0.500



[10]
Compound: ZrZn5Rh6
Source: Alexandria
Functional: PBE-GGA
Structure: optimized geometry

Summary:
For the formation energy, the calculation gives -6.5 eV/f.u. The calculation puts the density of states at the Fermi level at 0.391 states/eV/atom.

abc: 6.838 6.838 6.157
angles: 90.00 90.00 142.98
Fractional positions:
Zr  0.000  0.000  0.000
Zn  0.000  0.000  0.500
Zn  0.333  0.667  0.000
Zn  0.334  0.666  0.500
Zn  0.666  0.334  0.500
Zn  0.667  0.333  0.000
Rh  0.170  0.830  0.254
Rh  0.170  0.830  0.746
Rh  0.500  0.500  0.261
Rh  0.500  0.500  0.739
Rh  0.830  0.170  0.254
Rh  0.830  0.170  0.746



[11]
Compound: BeMoPd
Source: Alexandria
Functional: PBE-GGA
Structure: optimized geometry

Summary:
For the formation energy, the calculation gives -0.3 eV/f.u. The relative energy among the computed polymorphs comes out at 0.141 eV/atom. The calculation puts the density of states at the Fermi level at 0.431 states/eV/atom.

abc: 3.543 3.543 6.505
angles: 90.00 90.00 90.00
Fractional positions:
Be  0.250  0.250  0.199
Be  0.750  0.750  0.801
Mo  0.250  0.750  0.500
Mo  0.750  0.250  0.500
Pd  0.250  0.250  0.853
Pd  0.750  0.750  0.147



[12]
Compound: LaV2Cd
Source: Alexandria
Functional: PBE-GGA
Structure: optimized geometry

Summary:
For the formation energy, the calculation gives 2.9 eV/f.u. The calculation puts the density of states at the Fermi level at 1.254 states/eV/atom.

abc: 10.550 10.550 10.550
angles: 155.66 155.66 34.69
Fractional positions:
La  0.375  0.625  0.750
La  0.625  0.375  0.250
V  0.000  0.000  0.000
V  0.000  0.000  0.500
V  0.000  0.500  0.000
V  0.500  0.000  0.500
Cd  0.125  0.875  0.250
Cd  0.875  0.125  0.750